{"formula": "TcNi2Ir", "functional": "PBE", "state": "relaxed", "dos_ef_per_ev_atom": 1.96, "space_group": "Cmm2 (35)", "mass_density_g_cm3": 12.76, "m_tot_mub_per_fu": 0.80, "ef_ev_per_atom": 0.261, "relative_energy_mev_per_atom": 338, "volume_a3_per_atom": 13.26, "cell": [[2.616, 0.011, 0.000], [-1.183, 2.333, 0.000], [0.000, 0.000, 8.676]], "species": ["Tc", "Ni", "Ni", "Ir"], "fractional_positions": [[0.000, 0.000, 0.490], [0.500, 0.500, 0.243], [0.000, 0.000, 0.010], [0.500, 0.500, 0.757]]}